First-principles (PBE-GGA) data for a relaxed Mn3SbI9 crystal, as listed in Alexandria.

Lattice parameters (Å, degrees): 10.4027 11.3930 12.5761 75.06 65.57 62.84
Last column: magnetic moment on the atom in μB.
Fractional coordinates of all 26 atoms:
1 Mn 0.8081 0.5577 0.6737  4.28
2 Mn 0.9605 0.0577 0.1737  4.28
3 Mn 0.9931 0.9436 0.8301  4.27
4 Mn 0.2331 0.4436 0.3301  4.27
5 Mn 0.5814 0.2438 0.7236  4.29
6 Mn 0.4513 0.7438 0.2236  4.29
7 Sb 0.0214 0.5005 0.0087  0.05
8 Sb 0.4694 0.0005 0.5087  0.05
9 I 0.3276 0.1816 0.3238  0.04
10 I 0.1670 0.6816 0.8238  0.04
11 I 0.3630 0.2875 0.9378  0.04
12 I 0.4117 0.7875 0.4378  0.04
13 I 0.1552 0.0918 0.6945  0.05
14 I 0.0585 0.5918 0.1945  0.05
15 I 0.7229 0.7487 0.0632  0.06
16 I 0.4652 0.2487 0.5632  0.06
17 I 0.8197 0.9355 0.3698  0.05
18 I 0.8750 0.4355 0.8698  0.05
19 I 0.5619 0.7932 0.7081  0.05
20 I 0.9368 0.2932 0.2081  0.05
21 I 0.4923 0.4908 0.2260  0.09
22 I 0.7910 0.9908 0.7260  0.09
23 I 0.7355 0.4028 0.5951  0.07
24 I 0.2667 0.9028 0.0951  0.07
25 I 0.8219 0.0801 0.0234  0.07
26 I 0.0746 0.5801 0.5234  0.07

Properties
SG ... Cc
Crystal system ... monoclinic
Uncorrected formation energy ... -344 meV/atom
Calculated density ... 3.9 Mg/m³
Total magnetization ... 15.00 μB/f.u.